VASP calculation (PBE) on a relaxed structure of TaZn2CuB.

Computed properties:
**SG**: P4/mmm
**Energy relative to the elements**: 0.262 eV per atom
**VASP energy**: -4.77 eV/atom
**DOS(E_F)**: 2.5 states/eV per cell

```
TaZn2CuB
1.0
4.027 0.000 0.000
0.000 4.027 0.000
0.000 0.000 4.388
Ta Zn Cu B
1 2 1 1
direct
0.000 0.000 0.000 Ta
0.000 0.500 0.500 Zn
0.500 0.000 0.500 Zn
0.500 0.500 0.000 Cu
0.000 0.000 0.500 B
```